La2SmHgTe5 | GGA-PBE | optimized geometry

Output
Crystal system ... orthorhombic
Symmetry ... Cmc2_1, No. 36
Uncorrected formation energy ... -1.22 eV/atom
E ... -4.62 eV/atom

Lattice parameters (Å, degrees): 4.4788 9.8402 13.6923 90.00 90.00 103.15
Fractional coordinates of all 18 atoms:
Sm: 0.1906 0.3813 0.0018
Sm: 0.8094 0.6187 0.5018
Te: 0.6440 0.2880 0.4978
Te: 0.0380 0.0760 0.0930
Te: 0.3560 0.7120 0.9978
Te: 0.7065 0.4129 0.1641
Te: 0.3000 0.6000 0.3341
Te: 0.2935 0.5871 0.6641
Te: 0.7000 0.4000 0.8341
Te: 0.4966 0.9931 0.2784
Te: 0.9620 0.9240 0.5930
Te: 0.5034 0.0069 0.7784
La: 0.1257 0.2514 0.3045
La: 0.8743 0.7486 0.8045
La: 0.1214 0.2428 0.6830
La: 0.8786 0.7572 0.1830
Hg: 0.4376 0.8752 0.4673
Hg: 0.5624 0.1248 0.9673

***

TiCo2Ni6 | GGA-PBE | optimized geometry

Output
Crystal system ... monoclinic
Symmetry ... C2/m, No. 12
E ... -6.44 eV/atom

Lattice parameters (Å, degrees): 3.5339 4.3839 7.5496 73.63 76.46 66.23
Each line ends with the local moment (μB).
Fractional coordinates of all 9 atoms:
Ni: 0.9984 0.1697 0.8335  0.48
Ni: 0.3353 0.9462 0.3833  0.32
Ni: 0.6651 0.7230 0.9468  0.53
Ni: 0.6647 0.0538 0.6167  0.32
Ni: 0.3349 0.2770 0.0532  0.53
Ni: 0.0016 0.8303 0.1665  0.48
Ti: 0.0000 0.5000 0.5000  -0.36
Co: 0.6745 0.3837 0.2674  1.45
Co: 0.3255 0.6163 0.7326  1.45

***

TlCoBr2 | GGA-PBE | optimized geometry

Output
Offset from the most stable computed form ... 298 meV per atom
Crystal system ... orthorhombic
Symmetry ... Cmm2, No. 35
Uncorrected formation energy ... 0.05 eV/atom
E ... -3.16 eV/atom

Lattice parameters (Å, degrees): 3.8579 3.8579 9.2884 90.00 90.00 120.60
Each line ends with the local moment (μB).
Fractional coordinates of all 4 atoms:
Br: 0.0000 0.0000 0.9465  0.01
Br: 0.5000 0.5000 0.3390  0.10
Tl: 0.5000 0.5000 0.7210  0.00
Co: 0.0000 0.0000 0.4935  1.93

***

PrTl2F5 | GGA-PBE | optimized geometry

Output
Crystal system ... orthorhombic
Symmetry ... Pnma, No. 62
Uncorrected formation energy ... -2.92 eV/atom
E ... -5.28 eV/atom

Lattice parameters (Å, degrees): 7.0841 7.7818 11.5556 90.00 90.00 90.00
Fractional coordinates of all 32 atoms:
F: 0.8566 0.0324 0.9253
F: 0.6434 0.0324 0.4253
F: 0.6273 0.2500 0.6672
F: 0.3566 0.5324 0.5747
F: 0.8727 0.2500 0.1672
F: 0.8493 0.7500 0.1936
F: 0.1434 0.5324 0.0747
F: 0.6434 0.4676 0.4253
F: 0.3493 0.2500 0.3064
F: 0.3727 0.7500 0.3328
F: 0.6507 0.7500 0.6936
F: 0.8886 0.7500 0.4813
F: 0.3886 0.2500 0.0187
F: 0.1114 0.2500 0.5187
F: 0.1507 0.2500 0.8064
F: 0.6114 0.7500 0.9813
F: 0.1273 0.7500 0.8328
F: 0.1434 0.9676 0.0747
F: 0.3566 0.9676 0.5747
F: 0.8566 0.4676 0.9253
Tl: 0.0166 0.9977 0.3282
Tl: 0.4834 0.5023 0.8282
Tl: 0.5166 0.4977 0.1718
Tl: 0.9834 0.4977 0.6718
Tl: 0.0166 0.5023 0.3282
Tl: 0.9834 0.0023 0.6718
Tl: 0.4834 0.9977 0.8282
Tl: 0.5166 0.0023 0.1718
Pr: 0.5615 0.7500 0.4976
Pr: 0.0615 0.2500 0.0024
Pr: 0.9385 0.7500 0.9976
Pr: 0.4385 0.2500 0.5024

***

AlNi6P | GGA-PBE | optimized geometry

Output
Crystal system ... trigonal
Symmetry ... R-3m, No. 166
E ... -5.82 eV/atom

Lattice parameters (Å, degrees): 3.9856 3.9856 6.8769 73.16 73.16 60.00
Fractional coordinates of all 8 atoms:
Ni: 0.8886 0.8886 0.3343
Ni: 0.1114 0.1114 0.6657
Ni: 0.7612 0.7612 0.7164
Ni: 0.2388 0.2388 0.2836
Ni: 0.3679 0.3679 0.8963
Ni: 0.6321 0.6321 0.1037
P: 0.0000 0.0000 0.0000
Al: 0.5000 0.5000 0.5000

***

AlSiPt2 | GGA-PBE | optimized geometry

Output
Crystal system ... cubic
Symmetry ... F-43m, No. 216
Uncorrected formation energy ... -0.23 eV/atom
E ... -5.54 eV/atom

Lattice parameters (Å, degrees): 4.4333 4.4333 4.4333 60.00 60.00 60.00
Fractional coordinates of all 4 atoms:
Pt: 0.2500 0.2500 0.2500
Pt: 0.0000 0.0000 0.0000
Al: 0.5000 0.5000 0.5000
Si: 0.7500 0.7500 0.7500